# Ba4PdPb2, optimized geometry, DFT GGA-PBE
data_Ba4PdPb2
_space_group_name_H-M_alt 'I 4/m m m'
_space_group_IT_number 139
_space_group_name_Hall '-I 4 2'
_cell_length_a 6.2205
_cell_length_b 6.2205
_cell_length_c 16.7846
_cell_angle_alpha 90.00
_cell_angle_beta 90.00
_cell_angle_gamma 90.00
loop_
_atom_site_label
_atom_site_type_symbol
_atom_site_fract_x
_atom_site_fract_y
_atom_site_fract_z
_atom_site_occupancy
Ba1 Ba 0.0000 0.0000 0.1870 1
Ba2 Ba 0.0000 0.5000 0.0000 1
Pd1 Pd 0.0000 0.0000 0.0000 1
Pb1 Pb 0.0000 0.0000 0.3894 1
# VASP energy in Ry per atom: -0.243
# DFT formation energy in meV per atom: -407
# Crystal system: tetragonal